(1)
# AlCoHg2, optimized geometry, DFT GGA-PBE
data_AlCoHg2
_cell_length_a 3.0876
_cell_length_b 3.0876
_cell_length_c 26.7245
_cell_angle_alpha 90.00
_cell_angle_beta 90.00
_cell_angle_gamma 120.00
_symmetry_space_group_name_H-M 'R -3 m'
_symmetry_Int_Tables_number 166
_symmetry_space_group_name_Hall '-R 3 2"'
loop_
_atom_site_label
_atom_site_type_symbol
_atom_site_fract_x
_atom_site_fract_y
_atom_site_fract_z
Al1 Al 0.0000 0.0000 0.0000
Co1 Co 0.0000 0.0000 0.5000
Hg1 Hg 0.0000 0.0000 0.2450
# Mass density (kg/m³): 10998
# D(E_F) (states/eV/f.u.): 2.90
# Formation energy from the elements (kcal/mol of atoms): 8.672



(2)
# AlCoHg2, optimized geometry, DFT GGA-PBE
data_AlCoHg2
_cell_length_a 4.0384
_cell_length_b 4.0384
_cell_length_c 8.3690
_cell_angle_alpha 90.00
_cell_angle_beta 90.00
_cell_angle_gamma 90.00
_symmetry_space_group_name_H-M 'I 4/m m m'
_symmetry_Int_Tables_number 139
_symmetry_space_group_name_Hall '-I 4 2'
loop_
_atom_site_label
_atom_site_type_symbol
_atom_site_fract_x
_atom_site_fract_y
_atom_site_fract_z
Al1 Al 0.0000 0.0000 0.0000
Co1 Co 0.0000 0.0000 0.5000
Hg1 Hg 0.0000 0.5000 0.2500
# Mass density (kg/m³): 11852
# D(E_F) (states/eV/f.u.): 2.47
# Formation energy from the elements (kcal/mol of atoms): 7.701



(3)
# AlCoHg2, optimized geometry, DFT GGA-PBE
data_AlCoHg2
_cell_length_a 3.0336
_cell_length_b 3.0336
_cell_length_c 27.8471
_cell_angle_alpha 90.00
_cell_angle_beta 90.00
_cell_angle_gamma 120.00
_symmetry_space_group_name_H-M 'R 3 m'
_symmetry_Int_Tables_number 160
_symmetry_space_group_name_Hall 'R 3 -2"'
loop_
_atom_site_label
_atom_site_type_symbol
_atom_site_fract_x
_atom_site_fract_y
_atom_site_fract_z
Al1 Al 0.0000 0.0000 0.0000
Co1 Co 0.0000 0.0000 0.2751
Hg1 Hg 0.0000 0.0000 0.5310
Hg2 Hg 0.0000 0.0000 0.7592
# Mass density (kg/m³): 10934
# D(E_F) (states/eV/f.u.): 1.86
# Formation energy from the elements (kcal/mol of atoms): 4.426



(4)
# AlCo2Hg, optimized geometry, DFT GGA-PBE
data_AlCo2Hg
_cell_length_a 9.2495
_cell_length_b 2.9520
_cell_length_c 4.4112
_cell_angle_alpha 90.00
_cell_angle_beta 108.60
_cell_angle_gamma 90.00
_symmetry_space_group_name_H-M 'C 1 m 1'
_symmetry_Int_Tables_number 8
loop_
_symmetry_equiv_pos_as_xyz
'x,y,z'
'x,-y,z'
'x+1/2,y+1/2,z'
'x+1/2,-y+1/2,z'
loop_
_atom_site_label
_atom_site_type_symbol
_atom_site_fract_x
_atom_site_fract_y
_atom_site_fract_z
Al1 Al 0.0000 0.0000 0.0000
Co1 Co 0.2408 0.5000 0.1997
Co2 Co 0.4649 0.0000 0.4438
Hg1 Hg 0.2276 0.0000 0.6873
# Mass density (kg/m³): 10049
# D(E_F) (states/eV/f.u.): 4.28
# Formation energy from the elements (kcal/mol of atoms): 3.714



(5)
# AlCoHg2, optimized geometry, DFT GGA-PBE
data_AlCoHg2
_cell_length_a 6.5032
_cell_length_b 6.5032
_cell_length_c 6.5032
_cell_angle_alpha 90.00
_cell_angle_beta 90.00
_cell_angle_gamma 90.00
_symmetry_space_group_name_H-M 'F m -3 m'
_symmetry_Int_Tables_number 225
_symmetry_space_group_name_Hall '-F 4 2 3'
loop_
_atom_site_label
_atom_site_type_symbol
_atom_site_fract_x
_atom_site_fract_y
_atom_site_fract_z
Al1 Al 0.0000 0.0000 0.0000
Co1 Co 0.0000 0.0000 0.5000
Hg1 Hg 0.2500 0.2500 0.2500
# Mass density (kg/m³): 11763
# D(E_F) (states/eV/f.u.): 3.60
# Formation energy from the elements (kcal/mol of atoms): 9.621



(6)
# AlCoHg2, optimized geometry, DFT GGA-PBE
data_AlCoHg2
_cell_length_a 3.1058
_cell_length_b 4.8314
_cell_length_c 4.9642
_cell_angle_alpha 90.00
_cell_angle_beta 94.45
_cell_angle_gamma 90.00
_symmetry_space_group_name_H-M 'P 1 2/m 1'
_symmetry_Int_Tables_number 10
loop_
_symmetry_equiv_pos_as_xyz
'x,y,z'
'-x,-y,-z'
'-x,y,-z'
'x,-y,z'
loop_
_atom_site_label
_atom_site_type_symbol
_atom_site_fract_x
_atom_site_fract_y
_atom_site_fract_z
Al1 Al 0.0000 0.0000 0.0000
Co1 Co 0.5000 0.0000 0.5000
Hg1 Hg 0.2397 0.5000 0.2570
# Mass density (kg/m³): 10891
# D(E_F) (states/eV/f.u.): 4.96
# Formation energy from the elements (kcal/mol of atoms): 9.396



Number 1: size of the total moment 4.71 Bohr magnetons per cell. Number 2: size of the total moment 0.01 Bohr magnetons per cell. Number 3: size of the total moment 2.46 Bohr magnetons per cell. Number 4: size of the total moment 5.24 Bohr magnetons per cell. Number 5: size of the total moment 3.75 Bohr magnetons per cell. Number 6: size of the total moment 1.22 Bohr magnetons per cell.